Density functional theory data (PBE-GGA) for an optimized crystal structure of Fe2ReOs.

Unit cell a=4.9135 b=4.9135 c=4.9135 alpha=144.55 beta=129.47 gamma=63.24
Element x y z (fractional)
Os 0.5069 0.5069 0.0000
Fe 0.7623 0.2623 0.5000
Re 0.2411 0.7411 0.5000
Fe 0.9898 0.9898 0.0000

Values from the calculation:
Uncorrected energy   -10.037 eV per atom
ΔH_f (0 K)   0.1138 eV per atom
SG   Imm2 (44)


Density functional theory data (PBE-GGA) for an optimized crystal structure of HfZrSCl2.

Unit cell a=4.8695 b=4.8695 c=4.9915 alpha=90.00 beta=90.00 gamma=90.00
Element x y z (fractional)
S 0.0000 0.0000 0.5000
Zr 0.5000 0.5000 0.5000
Hf 0.0000 0.0000 0.0000
Cl 0.5000 0.0000 0.0000
Cl 0.0000 0.5000 0.0000

Values from the calculation:
Uncorrected energy   -5.651 eV per atom
Energy relative to the elements, uncorrected   -0.386 eV per atom
SG   P4/mmm (123)
Distance to the lowest polymorph of the same formula   0.000 eV per atom


Density functional theory data (PBE-GGA) for an optimized crystal structure of Ba4SbBr3.

Unit cell a=8.4237 b=8.3542 c=9.7159 alpha=90.00 beta=90.00 gamma=109.78
Element x y z (fractional)
Ba 0.0025 0.7591 0.8792
Ba 0.5003 0.7489 0.6237
Br 0.7500 0.5000 0.6296
Br 0.7500 0.0000 0.3770
Ba 0.9997 0.2511 0.6237
Sb 0.7500 0.0000 0.8661
Ba 0.4975 0.2409 0.8792
Sb 0.2500 0.0000 0.1339
Ba 0.0003 0.7489 0.3763
Br 0.2500 0.5000 0.3704
Ba 0.4997 0.2511 0.3763
Br 0.2500 0.5000 0.8764
Br 0.7500 0.5000 0.1236
Ba 0.5025 0.7591 0.1208
Br 0.2500 0.0000 0.6230
Ba 0.9975 0.2409 0.1208

Values from the calculation:
Uncorrected energy   -3.653 eV per atom
Energy relative to the elements, uncorrected   -1.549 eV per atom
SG   P2/c (13)


Density functional theory data (PBE-GGA) for an optimized crystal structure of Th2Te2AuN2.

Unit cell a=4.0070 b=4.0070 c=12.6069 alpha=90.00 beta=90.00 gamma=120.00
Element x y z (fractional)
N 0.3333 0.6667 0.1897
Th 0.3333 0.6667 0.8107
Th 0.6667 0.3333 0.1893
Au 0.0000 0.0000 0.0000
Te 0.0000 0.0000 0.6066
Te 0.0000 0.0000 0.3934
N 0.6667 0.3333 0.8103

Values from the calculation:
Uncorrected energy   -6.597 eV per atom
Energy relative to the elements, uncorrected   -0.733 eV per atom
SG   P-3m1 (164)


Density functional theory data (PBE-GGA) for an optimized crystal structure of SrV2Hg2.

Unit cell a=3.4710 b=3.4710 c=9.7091 alpha=79.70 beta=79.70 gamma=90.00
Element x y z (fractional)
Sr 0.0000 0.0000 0.0000
V 0.2500 0.7500 0.5000
Hg 0.3763 0.3763 0.2473
V 0.7500 0.2500 0.5000
Hg 0.6237 0.6237 0.7527

Values from the calculation:
Uncorrected energy   -3.844 eV per atom
ΔH_f (0 K)   0.2603 eV per atom
SG   I4/mmm (139)
Distance to the lowest polymorph of the same formula   0.000 eV per atom


Density functional theory data (PBE-GGA) for an optimized crystal structure of Pm2SnPd.

Unit cell a=4.0403 b=4.0403 c=8.4903 alpha=76.24 beta=76.24 gamma=60.00
Element x y z (fractional)
Pm 0.7392 0.7392 0.7824
Sn 0.5000 0.5000 0.5000
Pd 0.0000 0.0000 0.0000
Pm 0.2608 0.2608 0.2176

Values from the calculation:
Uncorrected energy   -5.233 eV per atom
ΔH_f (0 K)   -0.5588 eV per atom
SG   R-3m (166)
Distance to the lowest polymorph of the same formula   0.213 eV per atom


Density functional theory data (PBE-GGA) for an optimized crystal structure of Pa3Ga3Pd2.

Unit cell a=4.5902 b=5.4716 c=14.2430 alpha=90.00 beta=90.00 gamma=114.80
Element x y z (fractional)
Pa 0.0890 0.1780 0.8856
Ga 0.6130 0.2260 0.0408
Pa 0.9110 0.8220 0.1144
Pd 0.2052 0.4104 0.3953
Pd 0.2052 0.4104 0.1047
Pa 0.9110 0.8220 0.3856
Ga 0.6130 0.2260 0.4592
Pd 0.7948 0.5896 0.6047
Pa 0.6886 0.3771 0.2500
Ga 0.3870 0.7740 0.5408
Pa 0.0890 0.1780 0.6144
Pa 0.3114 0.6229 0.7500
Ga 0.3865 0.7730 0.2500
Ga 0.6135 0.2270 0.7500
Ga 0.3870 0.7740 0.9592
Pd 0.7948 0.5896 0.8953

Values from the calculation:
Uncorrected energy   -6.494 eV per atom
ΔH_f (0 K)   -0.4993 eV per atom
SG   Cmcm (63)


Density functional theory data (PBE-GGA) for an optimized crystal structure of SrIrI2.

Unit cell a=5.8280 b=5.8280 c=9.2349 alpha=71.61 beta=71.61 gamma=90.00
Element x y z (fractional)
I 0.3750 0.2977 0.7500
Sr 0.2500 0.7500 0.5000
Ir 0.7500 0.2500 0.5000
I 0.0477 0.6250 0.2500
Ir 0.0000 0.0000 0.0000
I 0.7023 0.1250 0.2500
I 0.8750 0.9523 0.7500
Sr 0.5000 0.5000 0.0000

Values from the calculation:
Uncorrected energy   -3.520 eV per atom
Energy relative to the elements, uncorrected   -0.109 eV per atom
SG   I-42d (122)
Distance to the lowest polymorph of the same formula   0.000 eV per atom